V5ReOs2: relaxed, PBE-GGA.

Output
As for the total magnetization: 0.0 Bohr magnetons per cell. The space-group type is No. 139. The formation energy comes out at -0.350 eV/atom.

Cell lengths 5.2258, 5.2258, 5.2257 Å; angles 109.31, 109.31, 109.80 degrees
Fractional positions:
V  0.7779  0.2779  0.0000
V  0.2779  0.7778  0.0000
V  0.2778  0.2778  0.0000
V  0.2779  0.2779  0.5000
V  0.7778  0.7779  0.5000
Os  0.7779  0.2779  0.5000
Os  0.2778  0.7779  0.5000
Re  0.7779  0.7779  0.0000

***

VRe2Os2: relaxed, PBE-GGA.

Output
As for the total magnetization: 0.0 Bohr magnetons per cell. The space-group type is No. 127. The formation energy comes out at 0.208 eV/atom.

Cell lengths 7.5118, 7.5118, 2.7567 Å; angles 90.00, 90.00, 90.00 degrees
Fractional positions:
Re  0.3297  0.1703  0.5000
Re  0.8297  0.3297  0.5000
Re  0.1703  0.6703  0.5000
Re  0.6703  0.8297  0.5000
Os  0.6257  0.1257  0.0000
Os  0.8743  0.6257  0.0000
Os  0.1257  0.3743  0.0000
Os  0.3743  0.8743  0.0000
V  0.5000  0.5000  0.0000
V  0.0000  0.0000  0.0000

***

V4ReOs: relaxed, PBE-GGA.

Output
As for the total magnetization: 0.0 Bohr magnetons per cell. The calculation puts the polymorph energy (0 for the lowest one) at 340 meV per atom. The space-group type is No. 216. The formation energy comes out at -0.008 eV/atom.

Cell lengths 4.8664, 4.8664, 4.8664 Å; angles 60.00, 60.00, 60.00 degrees
Fractional positions:
Re  0.2500  0.2500  0.2500
V  0.1255  0.6248  0.6248
V  0.6248  0.6248  0.6248
V  0.6248  0.6248  0.1255
V  0.6248  0.1255  0.6248
Os  0.0000  0.0000  0.0000

***

V3ReOs: relaxed, PBE-GGA.

Output
As for the total magnetization: 0.0 Bohr magnetons per cell. The calculation puts the polymorph energy (0 for the lowest one) at 0 meV per atom. The space-group type is No. 12. The formation energy comes out at -0.039 eV/atom.

Cell lengths 2.9758, 6.6805, 7.7804 Å; angles 106.15, 101.02, 90.00 degrees
Fractional positions:
Os  0.1366  0.1712  0.2732
Os  0.8634  0.8288  0.7268
V  0.2285  0.6402  0.4571
V  0.9551  0.2561  0.9102
V  0.0449  0.7439  0.0898
V  0.3170  0.0945  0.6340
V  0.6830  0.9055  0.3660
V  0.7715  0.3598  0.5429
Re  0.4111  0.5477  0.8222
Re  0.5889  0.4523  0.1778

***

VRe2Os: relaxed, PBE-GGA.

Output
As for the total magnetization: 0.0 Bohr magnetons per cell. The calculation puts the polymorph energy (0 for the lowest one) at 0 meV per atom. The space-group type is No. 123. The formation energy comes out at -0.012 eV/atom.

Cell lengths 3.8923, 3.8628, 3.8628 Å; angles 90.00, 90.00, 90.00 degrees
Fractional positions:
Re  0.0000  0.5000  0.0000
Re  0.0000  0.0000  0.5000
Os  0.5000  0.0000  0.0000
V  0.5000  0.5000  0.5000

***

VRe2Os: relaxed, PBE-GGA.

Output
As for the total magnetization: 0.1 Bohr magnetons per cell. The calculation puts the polymorph energy (0 for the lowest one) at 771 meV per atom. The space-group type is No. 122. The formation energy comes out at 0.760 eV/atom.

Cell lengths 3.6524, 3.6524, 9.9138 Å; angles 79.39, 79.39, 90.00 degrees
Fractional positions:
Re  0.8750  0.8505  0.7500
Re  0.1495  0.6250  0.2500
Re  0.6005  0.1250  0.2500
Re  0.3750  0.3995  0.7500
V  0.2500  0.7500  0.5000
V  0.5000  0.5000  0.0000
Os  0.7500  0.2500  0.5000
Os  0.0000  0.0000  0.0000

***

V4ReOs: relaxed, PBE-GGA.

Output
As for the total magnetization: 0.0 Bohr magnetons per cell. The calculation puts the polymorph energy (0 for the lowest one) at 738 meV per atom. The space-group type is No. 123. The formation energy comes out at 0.389 eV/atom.

Cell lengths 4.1211, 4.1220, 5.8790 Å; angles 89.98, 89.98, 90.00 degrees
Fractional positions:
V  0.5013  0.9971  0.2480
V  0.5013  0.9975  0.7483
V  0.0014  0.4973  0.7482
V  0.0012  0.4973  0.2480
Os  0.0013  0.9973  0.4981
Re  0.5013  0.4973  0.9981

***

V4ReOs: relaxed, PBE-GGA.

Output
As for the total magnetization: 0.0 Bohr magnetons per cell. The calculation puts the polymorph energy (0 for the lowest one) at 0 meV per atom. The space-group type is No. 123. The formation energy comes out at -0.349 eV/atom.

Cell lengths 3.0077, 3.0078, 9.0830 Å; angles 90.00, 90.00, 90.00 degrees
Fractional positions:
V  0.9999  0.9999  0.6676
V  0.4999  0.4999  0.8317
V  0.5001  0.5001  0.1683
V  0.0001  0.0001  0.3324
Re  0.5000  0.5000  0.5000
Os  0.0000  0.0000  0.0000

***

VRe2Os5: relaxed, PBE-GGA.

Output
As for the total magnetization: 0.0 Bohr magnetons per cell. The space-group type is No. 42. The formation energy comes out at -0.001 eV/atom.

Cell lengths 5.4657, 5.4657, 5.4597 Å; angles 119.93, 119.93, 90.16 degrees
Fractional positions:
Os  0.7773  0.2780  0.9999
Os  0.7779  0.7779  0.5000
Os  0.2809  0.2749  0.0001
Os  0.2777  0.7784  0.0001
Os  0.2780  0.2778  0.5000
Re  0.2782  0.7799  0.5023
Re  0.7758  0.2775  0.4976
V  0.7771  0.7786  0.0000

***

Re2OsW: relaxed, PBE-GGA.

Output
As for the total magnetization: 0.0 Bohr magnetons per cell. The calculation puts the polymorph energy (0 for the lowest one) at 305 meV per atom. The space-group type is No. 225. The formation energy comes out at 0.371 eV/atom.

Cell lengths 4.4207, 4.4207, 4.4207 Å; angles 60.00, 60.00, 60.00 degrees
Fractional positions:
Re  0.7500  0.7500  0.7500
Re  0.2500  0.2500  0.2500
Os  0.5000  0.5000  0.5000
W  0.0000  0.0000  0.0000

***

ReOsW: relaxed, PBE-GGA.

Output
As for the total magnetization: 0.0 Bohr magnetons per cell. The calculation puts the polymorph energy (0 for the lowest one) at 314 meV per atom. The space-group type is No. 107. The formation energy comes out at 0.358 eV/atom.

Cell lengths 4.9920, 4.9920, 4.9920 Å; angles 142.27, 142.27, 54.42 degrees
Fractional positions:
Re  0.3257  0.3257  0.0000
W  0.6696  0.6696  0.0000
Os  0.0047  0.0047  0.0000

***

Re5Os2W: relaxed, PBE-GGA.

Output
As for the total magnetization: 0.0 Bohr magnetons per cell. The space-group type is No. 1. The formation energy comes out at -0.017 eV/atom.

Cell lengths 4.8149, 5.2600, 6.5649 Å; angles 125.33, 111.45, 62.84 degrees
Fractional positions:
Re  0.1672  0.6567  0.6604
Re  0.0831  0.7859  0.2844
Re  0.0837  0.2901  0.7822
Re  0.6642  0.4144  0.4088
Re  0.6648  0.9110  0.9081
W  0.1695  0.1542  0.1610
Os  0.5820  0.5322  0.0342
Os  0.5855  0.0325  0.5378

***

> Which value of total magnetization does entry 12 give?

0.0 Bohr magnetons per cell